Entry from the Alexandria database: crystalline NaSrZn4 at its relaxed geometry (GGA-PBE).

Computed properties:
Uncorrected energy (eV/cell): -35.205
Volume (Å³/cell): 506
Formation enthalpy at 0 K (kJ/mol of atoms): -11.33
M_tot (Bohr magnetons per cell): 0.0

Unit cell a=7.9707 b=7.9707 c=7.9707 alpha=90.00 beta=90.00 gamma=90.00
Space group F-43m (No. 216)
Asymmetric unit:
Na (0.0000, 0.0000, 0.0000) (multiplicity 4)
Sr (0.2500, 0.2500, 0.7500) (multiplicity 4)
Zn (0.1261, 0.1261, 0.3739) (multiplicity 16)